Entry 1:
InSI: relaxed, PBE.

It has space group Cm (No. 8), with a = 6.904 Å, b = 3.986 Å, c = 7.475 Å, α = 90.00°, β = 107.68° and γ = 90.00°. The distinct sites, in fractional coordinates, are In at (0.000, 0.000, 0.000), S at (0.279, 0.000, 0.835) and I at (0.262, 0.500, 0.291).

The value obtained for the total energy is -3.292 eV per atom. Its calculated volume is 32.66 Å³/atom.

***

Entry 2:
In2SI: relaxed, PBE.

It has space group I-42d (No. 122), with a = 7.966 Å, b = 7.966 Å, c = 8.457 Å, α = 90.00°, β = 90.00° and γ = 90.00°. The distinct sites, in fractional coordinates, are In at (0.195, 0.250, 0.125), S at (0.000, 0.000, 0.000) and I at (0.000, 0.000, 0.500).

The value obtained for the total energy is -3.042 eV per atom. As for the energy above the most stable polymorph in this dataset: 0.1315 eV per atom. Its calculated volume is 33.54 Å³/atom.

***

Entry 3:
InSI: relaxed, PBE.

It has space group P1 (No. 1), with a = 4.014 Å, b = 7.549 Å, c = 8.037 Å, α = 95.50°, β = 104.44° and γ = 104.81°. The distinct sites, in fractional coordinates, are In at (0.000, 0.000, 0.000), In at (0.333, 0.033, 0.634), S at (0.581, 0.199, 0.971), S at (0.760, 0.821, 0.693), I at (0.023, 0.779, 0.253) and I at (0.901, 0.288, 0.522).

The value obtained for the total energy is -3.301 eV per atom. Its calculated volume is 37.45 Å³/atom.

***

Entry 4:
InSI: relaxed, PBE.

It has space group P-1 (No. 2), with a = 4.044 Å, b = 6.953 Å, c = 8.245 Å, α = 114.85°, β = 103.89° and γ = 90.04°. The distinct sites, in fractional coordinates, are In at (0.231, 0.186, 0.461), S at (0.352, 0.042, 0.710) and I at (0.133, 0.453, 0.260).

The value obtained for the total energy is -3.291 eV per atom. Its calculated volume is 33.80 Å³/atom.

***

Entry 5:
In2S3I: relaxed, PBE.

It has space group P-3m1 (No. 164), with a = 7.7969 Å, b = 7.7969 Å, c = 6.4372 Å, α = 90.00°, β = 90.00° and γ = 120.00°. The distinct sites, in fractional coordinates, are In at (0.0000, 0.0000, 0.0000), In at (0.0000, 0.5000, 0.0000), S at (0.1707, 0.3415, 0.7930) and I at (0.3333, 0.6667, 0.3334).

The value obtained for the total energy is -3.525 eV per atom. Its calculated volume is 28.24 Å³/atom.

***

Entry 6:
InSI: relaxed, PBE.

It has space group P2_1 (No. 4), with a = 4.067 Å, b = 6.338 Å, c = 9.515 Å, α = 90.00°, β = 90.28° and γ = 90.00°. The distinct sites, in fractional coordinates, are In at (0.249, 0.000, 0.414), S at (0.249, 0.596, 0.438) and I at (0.245, 0.095, 0.141).

The value obtained for the total energy is -3.316 eV per atom. Its calculated volume is 40.88 Å³/atom.

***

Entry 7:
In2SI: relaxed, PBE.

It has space group R3m (No. 160, hexagonal axes), with a = 4.1825 Å, b = 4.1825 Å, c = 24.1088 Å, α = 90.00°, β = 90.00° and γ = 120.00°. The distinct sites, in fractional coordinates, are In at (0.0000, 0.0000, 0.0000), In at (0.0000, 0.0000, 0.1984), S at (0.0000, 0.0000, 0.6049) and I at (0.0000, 0.0000, 0.4256).

The value obtained for the total energy is -3.104 eV per atom. As for the energy above the most stable polymorph in this dataset: 0.0693 eV per atom. Its calculated volume is 30.44 Å³/atom.

***

Entry 8:
InS2I: relaxed, PBE.

It has space group R-3m (No. 166, hexagonal axes), with a = 5.7381 Å, b = 5.7381 Å, c = 10.4614 Å, α = 90.00°, β = 90.00° and γ = 120.00°. The distinct sites, in fractional coordinates, are In at (0.0000, 0.0000, 0.0000), S at (0.0000, 0.0000, 0.2540) and I at (0.0000, 0.0000, 0.5000).

The value obtained for the total energy is -2.807 eV per atom. As for the energy above the most stable polymorph in this dataset: 0.5880 eV per atom. Its calculated volume is 24.86 Å³/atom.